CaGe3Ru2: optimized geometry, PBE.

a b c (Å): 6.1948 6.1948 5.7714
angles (deg): 90.00 90.00 76.83
Closest atoms and distances in Å follow each position.
Element x y z (fractional)
Ca (0.1484, 0.8516, 0.7500)  3 Ge 2.95-3.24
Ca (0.8516, 0.1484, 0.2500)  3 Ge 2.95-3.24
Ge (0.0406, 0.6163, 0.2500)  4 Ru 2.48-2.67, 1 Ge 2.58
Ge (0.3837, 0.9594, 0.2500)  4 Ru 2.48-2.67, 1 Ge 2.58
Ge (0.4678, 0.5322, 0.2500)  4 Ru 2.49, 2 Ge 2.58
Ge (0.5322, 0.4678, 0.7500)  4 Ru 2.49, 2 Ge 2.58
Ge (0.6163, 0.0406, 0.7500)  4 Ru 2.48-2.67, 1 Ge 2.58
Ge (0.9594, 0.3837, 0.7500)  4 Ru 2.48-2.67, 1 Ge 2.58
Ru (0.2927, 0.2927, 0.0000)  6 Ge 2.48-2.67
Ru (0.2927, 0.2927, 0.5000)  6 Ge 2.48-2.67
Ru (0.7073, 0.7073, 0.0000)  6 Ge 2.48-2.67
Ru (0.7073, 0.7073, 0.5000)  6 Ge 2.48-2.67

Values from the calculation:
* electronic total energy: -6.087 eV per atom
* energy relative to the elements: -0.353 eV per atom
* symmetry: Cmcm (63)